a) {
  "formula": "Zr2TaNi",
  "functional": "GGA-PBE",
  "state": "relaxed",
  "cell": [[-0.0764, -1.8198, 4.3371], [1.4917, 2.5620, 3.6523], [-3.0874, 1.5999, 3.1680]],
  "species": ["Zr", "Zr", "Ni", "Ta"],
  "frac_coords": [[0.2500, 0.2500, 0.2500], [0.7500, 0.7500, 0.7500], [0.0000, 0.0000, 0.0000], [0.5000, 0.5000, 0.5000]]
}

***

b) {
  "formula": "Zr2TaNi",
  "functional": "GGA-PBE",
  "state": "relaxed",
  "cell": [[4.6717, 0.0000, 0.0000], [2.3358, 4.0458, 0.0000], [2.3358, 1.3486, 3.8144]],
  "species": ["Zr", "Zr", "Ta", "Ni"],
  "frac_coords": [[0.0000, 0.0000, 0.0000], [0.2500, 0.2500, 0.2500], [0.7500, 0.7500, 0.7500], [0.5000, 0.5000, 0.5000]]
}

***

Which structure is the most stable? The one labeled a).

***

a) {
  "formula": "Zr2TaNi",
  "functional": "GGA-PBE",
  "state": "relaxed",
  "cell": [[-5.0129, 7.7474, 0.3538], [-4.9323, 7.0268, 3.4019], [-2.5651, 8.6177, 2.1051]],
  "species": ["Ta", "Zr", "Zr", "Ni"],
  "frac_coords": [[0.7606, 0.7606, 0.7606], [0.0050, 0.0050, 0.0050], [0.2396, 0.2396, 0.2396], [0.4948, 0.4948, 0.4948]]
}

***

b) {
  "formula": "Zr2TaNi",
  "functional": "GGA-PBE",
  "state": "relaxed",
  "cell": [[-0.2513, -5.5938, -0.2676], [4.4777, 2.3753, -1.6448], [1.8915, -0.8141, 2.2305]],
  "species": ["Zr", "Zr", "Ta", "Ni"],
  "frac_coords": [[0.5000, 0.0000, 0.5000], [0.0000, 0.0000, 0.0000], [0.5000, 0.5000, 0.0000], [0.0000, 0.5000, 0.5000]]
}

***

Which structure is the most stable? The one labeled a).

***

a) {
  "formula": "ZrTa2Ni2",
  "functional": "GGA-PBE",
  "state": "relaxed",
  "cell": [[7.7068, 0.0000, 0.0000], [0.0000, 7.7068, 0.0000], [0.0000, 0.0000, 2.7326]],
  "species": ["Zr", "Zr", "Ni", "Ni", "Ni", "Ni", "Ta", "Ta", "Ta", "Ta"],
  "frac_coords": [[0.0000, 0.0000, 0.0000], [0.5000, 0.5000, 0.0000], [0.8311, 0.3311, 0.5000], [0.3311, 0.1689, 0.5000], [0.1689, 0.6689, 0.5000], [0.6689, 0.8311, 0.5000], [0.1298, 0.3702, 0.0000], [0.6298, 0.1298, 0.0000], [0.3702, 0.8702, 0.0000], [0.8702, 0.6298, 0.0000]]
}

***

b) {
  "formula": "ZrTa2Ni2",
  "functional": "GGA-PBE",
  "state": "relaxed",
  "cell": [[3.9040, 0.0000, 0.0000], [0.0000, 3.9040, 0.0000], [1.9520, 1.9520, 5.7782]],
  "species": ["Ni", "Ni", "Ta", "Ta", "Zr"],
  "frac_coords": [[0.2500, 0.7500, 0.5000], [0.7500, 0.2500, 0.5000], [0.3809, 0.3809, 0.2381], [0.6191, 0.6191, 0.7619], [0.0000, 0.0000, 0.0000]]
}

***

c) {
  "formula": "ZrTa2Ni2",
  "functional": "GGA-PBE",
  "state": "relaxed",
  "cell": [[-1.1418, 5.3918, 4.6516], [-0.2648, -4.7399, 5.4291], [3.0672, 0.2969, 0.4088]],
  "species": ["Ni", "Ni", "Ni", "Ni", "Zr", "Zr", "Ta", "Ta", "Ta", "Ta"],
  "frac_coords": [[0.3782, 0.8782, 0.0000], [0.1218, 0.3782, 0.0000], [0.6218, 0.1218, 0.0000], [0.8782, 0.6218, 0.0000], [0.5000, 0.5000, 0.0000], [0.0000, 0.0000, 0.0000], [0.3303, 0.1697, 0.5000], [0.6697, 0.8303, 0.5000], [0.1697, 0.6697, 0.5000], [0.8303, 0.3303, 0.5000]]
}

***

Which structure is the most stable? The one labeled c).

***

a) {
  "formula": "ZrTaNi",
  "functional": "GGA-PBE",
  "state": "relaxed",
  "cell": [[-2.8006, -0.0570, -4.2891], [3.8042, -3.3477, 0.7510], [-3.4240, -1.1817, 3.7154]],
  "species": ["Ni", "Ni", "Zr", "Zr", "Ta", "Ta"],
  "frac_coords": [[0.2500, 0.7500, 0.5000], [0.7500, 0.2500, 0.5000], [0.6589, 0.3411, 0.0000], [0.3411, 0.6589, 0.0000], [0.1605, 0.1605, 0.3209], [0.8395, 0.8395, 0.6791]]
}

***

b) {
  "formula": "ZrTaNi",
  "functional": "GGA-PBE",
  "state": "relaxed",
  "cell": [[4.9012, 0.0000, 1.3543], [2.4506, 4.3306, 0.6772], [-0.0165, 0.0000, 9.6056]],
  "species": ["Ni", "Ni", "Ni", "Ni", "Zr", "Zr", "Zr", "Zr", "Ta", "Ta", "Ta", "Ta"],
  "frac_coords": [[0.8744, 0.5000, 0.2512], [0.8756, 0.0000, 0.2488], [0.1244, 0.0000, 0.7512], [0.6256, 0.5000, 0.7488], [0.8294, 0.3413, 0.0000], [0.5794, 0.8413, 0.5000], [0.9206, 0.1587, 0.5000], [0.1706, 0.6587, 0.0000], [0.3297, 0.5000, 0.3406], [0.1703, 0.5000, 0.6594], [0.5797, 0.0000, 0.8406], [0.4203, 0.0000, 0.1594]]
}

***

c) {
  "formula": "ZrTaNi",
  "functional": "GGA-PBE",
  "state": "relaxed",
  "cell": [[-1.0044, -0.1239, -2.9435], [-1.6232, -1.3974, 2.2585], [-3.3479, 5.3701, 0.9164]],
  "species": ["Zr", "Ta", "Ni"],
  "frac_coords": [[0.3333, 0.6667, 0.6800], [0.6667, 0.3333, 0.3057], [0.0000, 0.0000, 0.0143]]
}

***

d) {
  "formula": "ZrTaNi",
  "functional": "GGA-PBE",
  "state": "relaxed",
  "cell": [[5.8957, -0.0050, 0.0054], [5.0858, 2.9819, -0.0017], [0.8099, 0.2258, 2.9784]],
  "species": ["Ni", "Ta", "Zr"],
  "frac_coords": [[0.9815, 0.9815, 0.0185], [0.3562, 0.3562, 0.6438], [0.6624, 0.6624, 0.3376]]
}

***

Which structure is the most stable? The one labeled a).

***

a) {
  "formula": "Zr2TaNi2",
  "functional": "GGA-PBE",
  "state": "relaxed",
  "cell": [[3.2891, 0.0000, 0.0000], [0.0000, 3.2891, 0.0000], [1.6446, 1.6446, 8.3404]],
  "species": ["Zr", "Zr", "Ni", "Ni", "Ta"],
  "frac_coords": [[0.6195, 0.6195, 0.7611], [0.3805, 0.3805, 0.2389], [0.2500, 0.7500, 0.5000], [0.7500, 0.2500, 0.5000], [0.0000, 0.0000, 0.0000]]
}

***

b) {
  "formula": "Zr2TaNi2",
  "functional": "GGA-PBE",
  "state": "relaxed",
  "cell": [[-4.8303, -5.3332, -0.6736], [5.3694, -4.8302, -0.2602], [-0.1170, -0.3055, 3.2578]],
  "species": ["Ni", "Ni", "Ni", "Ni", "Zr", "Zr", "Zr", "Zr", "Ta", "Ta"],
  "frac_coords": [[0.3748, 0.8748, 0.0000], [0.8748, 0.6252, 0.0000], [0.6252, 0.1252, 0.0000], [0.1252, 0.3748, 0.0000], [0.3285, 0.1715, 0.5000], [0.6715, 0.8285, 0.5000], [0.8285, 0.3285, 0.5000], [0.1715, 0.6715, 0.5000], [0.5000, 0.5000, 0.0000], [0.0000, 0.0000, 0.0000]]
}

***

Which structure is the most stable? The one labeled b).

***

a) {
  "formula": "Tb3Ni2",
  "functional": "GGA-PBE",
  "state": "relaxed",
  "cell": [[-0.8616, 3.9021, 0.3980], [-3.7629, -3.6519, 7.3983], [9.4400, 1.6771, 3.9937]],
  "species": ["Tb", "Tb", "Tb", "Tb", "Tb", "Tb", "Tb", "Tb", "Tb", "Ni", "Ni", "Ni", "Ni", "Ni", "Ni"],
  "frac_coords": [[0.8775, 0.7549, 0.7241], [0.5391, 0.0781, 0.6594], [0.4609, 0.9219, 0.3406], [0.8289, 0.6578, 0.0488], [0.5000, 0.0000, 0.0000], [0.1225, 0.2451, 0.2759], [0.2087, 0.4173, 0.6150], [0.1711, 0.3422, 0.9512], [0.7913, 0.5827, 0.3850], [0.3129, 0.6258, 0.8616], [0.3644, 0.7289, 0.5383], [0.6871, 0.3742, 0.1384], [0.9717, 0.9433, 0.1726], [0.0283, 0.0567, 0.8274], [0.6356, 0.2711, 0.4617]]
}

***

b) {
  "formula": "Tb3Ni2",
  "functional": "GGA-PBE",
  "state": "relaxed",
  "cell": [[-0.3579, -3.3204, -1.5394], [3.6090, -1.3357, 2.0419], [-5.7380, -1.4800, 4.5264]],
  "species": ["Tb", "Tb", "Tb", "Ni", "Ni"],
  "frac_coords": [[0.5000, 0.5000, 0.0000], [0.0000, 0.1523, 0.3047], [0.0000, 0.8477, 0.6953], [0.5000, 0.6975, 0.3951], [0.5000, 0.3025, 0.6049]]
}

***

Which structure is the most stable? The one labeled b).

***

a) {
  "formula": "Tb3Ni2",
  "functional": "GGA-PBE",
  "state": "relaxed",
  "cell": [[6.7355, 0.0000, 0.0000], [3.3677, 5.8331, 0.0000], [3.3677, 1.9444, 6.1022]],
  "species": ["Tb", "Tb", "Tb", "Tb", "Tb", "Tb", "Ni", "Ni", "Ni", "Ni"],
  "frac_coords": [[0.2500, 0.6240, 0.2500], [0.7500, 0.3760, 0.7500], [0.6240, 0.8760, 0.2500], [0.8760, 0.2500, 0.2500], [0.1240, 0.7500, 0.7500], [0.3760, 0.1240, 0.7500], [0.3158, 0.3158, 0.0527], [0.6842, 0.6842, 0.9473], [0.1842, 0.1842, 0.4473], [0.8158, 0.8158, 0.5527]]
}

***

b) {
  "formula": "Tb3Ni2",
  "functional": "GGA-PBE",
  "state": "relaxed",
  "cell": [[-2.4464, -2.2450, 6.0783], [1.2065, -1.9259, 6.5426], [-1.3540, 7.9044, 5.2202]],
  "species": ["Tb", "Tb", "Tb", "Tb", "Tb", "Tb", "Ni", "Ni", "Ni", "Ni"],
  "frac_coords": [[0.5982, 0.5982, 0.3259], [0.8566, 0.8566, 0.3672], [0.8684, 0.8684, 0.9983], [0.1316, 0.1316, 0.0017], [0.1434, 0.1434, 0.6328], [0.4018, 0.4018, 0.6741], [0.2576, 0.2576, 0.2256], [0.5344, 0.5344, 0.8562], [0.7424, 0.7424, 0.7744], [0.4656, 0.4656, 0.1438]]
}

***

Which structure is the most stable? The one labeled b).

***

a) {
  "formula": "Tb2Ni7",
  "functional": "GGA-PBE",
  "state": "relaxed",
  "cell": [[4.9443, 0.0000, 0.0000], [-2.4722, 4.2819, 0.0000], [0.0000, 0.0000, 24.1590]],
  "species": ["Ni", "Ni", "Ni", "Ni", "Ni", "Ni", "Ni", "Ni", "Ni", "Ni", "Ni", "Ni", "Ni", "Ni", "Ni", "Ni", "Ni", "Ni", "Ni", "Ni", "Ni", "Ni", "Ni", "Ni", "Ni", "Ni", "Ni", "Ni", "Tb", "Tb", "Tb", "Tb", "Tb", "Tb", "Tb", "Tb"],
  "frac_coords": [[0.0000, 0.0000, 0.3322], [0.1668, 0.8332, 0.7500], [0.8330, 0.1670, 0.4142], [0.8332, 0.6663, 0.2500], [0.0000, 0.0000, 0.6678], [0.3333, 0.6667, 0.8325], [0.6660, 0.8330, 0.5858], [0.1670, 0.3340, 0.9142], [0.3337, 0.1668, 0.2500], [0.0000, 0.0000, 0.1678], [0.6667, 0.3333, 0.1675], [0.1670, 0.3340, 0.5858], [0.0000, 0.0000, 0.8322], [0.8330, 0.1670, 0.0858], [0.8332, 0.1668, 0.2500], [0.6667, 0.3333, 0.3325], [0.6663, 0.8332, 0.7500], [0.3333, 0.6667, 0.6675], [0.1670, 0.8330, 0.9142], [0.3340, 0.1670, 0.0858], [0.8330, 0.6660, 0.4142], [0.3340, 0.1670, 0.4142], [0.6660, 0.8330, 0.9142], [0.8330, 0.6660, 0.0858], [0.0000, 0.0000, 0.0000], [0.1668, 0.3337, 0.7500], [0.0000, 0.0000, 0.5000], [0.1670, 0.8330, 0.5858], [0.3333, 0.6667, 0.0295], [0.6667, 0.3333, 0.5295], [0.3333, 0.6667, 0.4705], [0.6667, 0.3333, 0.9705], [0.3333, 0.6667, 0.1742], [0.6667, 0.3333, 0.6742], [0.3333, 0.6667, 0.3258], [0.6667, 0.3333, 0.8258]]
}

***

b) {
  "formula": "Tb2Ni7",
  "functional": "GGA-PBE",
  "state": "relaxed",
  "cell": [[-9.0296, 2.7533, -8.0657], [-11.1439, -0.8410, -5.4106], [-11.2029, 3.8166, -3.7546]],
  "species": ["Ni", "Ni", "Ni", "Ni", "Ni", "Ni", "Ni", "Ni", "Ni", "Ni", "Ni", "Ni", "Ni", "Ni", "Tb", "Tb", "Tb", "Tb"],
  "frac_coords": [[0.6118, 0.6118, 0.6118], [0.3902, 0.8913, 0.3902], [0.0000, 0.5000, 0.5000], [0.8913, 0.3902, 0.3902], [0.5000, 0.5000, 0.0000], [0.6098, 0.6098, 0.1087], [0.3882, 0.3882, 0.3882], [0.1087, 0.6098, 0.6098], [0.5000, 0.0000, 0.5000], [0.2783, 0.2783, 0.2783], [0.5000, 0.5000, 0.5000], [0.6098, 0.1087, 0.6098], [0.3902, 0.3902, 0.8913], [0.7217, 0.7217, 0.7217], [0.0505, 0.0505, 0.0505], [0.8529, 0.8529, 0.8529], [0.1471, 0.1471, 0.1471], [0.9495, 0.9495, 0.9495]]
}

***

Which structure is the most stable? The one labeled b).

***

a) {
  "formula": "TbNi6",
  "functional": "GGA-PBE",
  "state": "relaxed",
  "cell": [[4.8403, 0.0000, 0.0000], [0.0000, 7.7815, 0.0000], [0.0000, 0.0000, 9.7831]],
  "species": ["Ni", "Ni", "Ni", "Ni", "Ni", "Ni", "Ni", "Ni", "Ni", "Ni", "Ni", "Ni", "Ni", "Ni", "Ni", "Ni", "Ni", "Ni", "Ni", "Ni", "Ni", "Ni", "Ni", "Ni", "Tb", "Tb", "Tb", "Tb"],
  "frac_coords": [[0.7500, 0.9381, 0.0923], [0.2500, 0.5619, 0.5923], [0.2500, 0.3184, 0.7425], [0.7500, 0.1031, 0.4813], [0.2500, 0.1481, 0.1478], [0.7500, 0.4381, 0.4077], [0.5060, 0.5675, 0.8083], [0.2500, 0.6481, 0.3522], [0.7500, 0.6031, 0.0187], [0.2500, 0.3969, 0.9813], [0.2500, 0.0619, 0.9077], [0.7500, 0.6816, 0.2575], [0.2500, 0.8969, 0.5187], [0.2500, 0.8184, 0.7575], [0.7500, 0.3519, 0.6478], [0.9940, 0.5675, 0.8083], [0.0060, 0.4325, 0.1917], [0.5060, 0.0675, 0.6917], [0.7500, 0.8519, 0.8522], [0.7500, 0.1816, 0.2425], [0.9940, 0.0675, 0.6917], [0.0060, 0.9325, 0.3083], [0.4940, 0.4325, 0.1917], [0.4940, 0.9325, 0.3083], [0.2500, 0.7587, 0.0608], [0.7500, 0.7413, 0.5608], [0.7500, 0.2413, 0.9392], [0.2500, 0.2587, 0.4392]]
}

***

b) {
  "formula": "TbNi6",
  "functional": "GGA-PBE",
  "state": "relaxed",
  "cell": [[5.2853, 0.0000, 0.0000], [0.0000, 5.2853, 0.0000], [0.0000, 0.0000, 5.2853]],
  "species": ["Ni", "Ni", "Ni", "Ni", "Ni", "Ni", "Tb"],
  "frac_coords": [[0.5000, 0.8034, 0.5000], [0.5000, 0.5000, 0.1966], [0.8034, 0.5000, 0.5000], [0.5000, 0.1966, 0.5000], [0.1966, 0.5000, 0.5000], [0.5000, 0.5000, 0.8034], [0.0000, 0.0000, 0.0000]]
}

***

Which structure is the most stable? The one labeled a).